[1]
A plane-wave DFT calculation with SCAN was carried out for a PBEsol-optimized structure of Tb2AgPd.

Geometry as CIF:
```
data_Tb2AgPd
_space_group_name_H-M_alt 'P 1'
_space_group_IT_number 1
_cell_length_a 3.496
_cell_length_b 3.496
_cell_length_c 7.147
_cell_angle_alpha 90.00
_cell_angle_beta 90.00
_cell_angle_gamma 90.00
loop_
_space_group_symop_operation_xyz
'x,y,z'
loop_
_atom_site_label
_atom_site_fract_x
_atom_site_fract_y
_atom_site_fract_z
Pd1 0.000 0.000 0.500
Tb1 0.500 0.500 0.738
Ag1 0.000 0.000 0.000
Tb2 0.500 0.500 0.262
```

Properties
Space group: P4/mmm, No. 123
Total moment (μB per cell): 0.00
E_form (eV/atom): -0.664

=====

[2]
A plane-wave DFT calculation with SCAN was carried out for a PBEsol-optimized structure of AgTe2Pd.

Geometry as CIF:
```
data_AgTe2Pd
_space_group_name_H-M_alt 'P 1'
_space_group_IT_number 1
_cell_length_a 3.969
_cell_length_b 3.969
_cell_length_c 8.356
_cell_angle_alpha 76.26
_cell_angle_beta 76.26
_cell_angle_gamma 60.00
loop_
_space_group_symop_operation_xyz
'x,y,z'
loop_
_atom_site_label
_atom_site_fract_x
_atom_site_fract_y
_atom_site_fract_z
Pd1 0.500 0.500 0.500
Te1 0.109 0.109 0.673
Te2 0.891 0.891 0.327
Ag1 0.000 0.000 0.000
```

Properties
Space group: R-3m, No. 166
Formation energy from raw total energies (kJ/mol of formula units): -42
Total moment (μB per cell): 0.00

=====

[3]
A plane-wave DFT calculation with SCAN was carried out for a PBEsol-optimized structure of TiAg2Pd.

Geometry as CIF:
```
data_TiAg2Pd
_space_group_name_H-M_alt 'P 1'
_space_group_IT_number 1
_cell_length_a 4.471
_cell_length_b 4.471
_cell_length_c 4.471
_cell_angle_alpha 60.00
_cell_angle_beta 60.00
_cell_angle_gamma 60.00
loop_
_space_group_symop_operation_xyz
'x,y,z'
loop_
_atom_site_label
_atom_site_fract_x
_atom_site_fract_y
_atom_site_fract_z
Pd1 0.500 0.500 0.500
Ag1 0.250 0.250 0.250
Ag2 0.750 0.750 0.750
Ti1 0.000 0.000 0.000
```

Properties
Space group: Fm-3m, No. 225
Total moment (μB per cell): 1.05
E_form (eV/atom): -0.033

=====

[4]
A plane-wave DFT calculation with SCAN was carried out for a PBEsol-optimized structure of Ti2AgPd.

Geometry as CIF:
```
data_Ti2AgPd
_space_group_name_H-M_alt 'P 1'
_space_group_IT_number 1
_cell_length_a 4.485
_cell_length_b 4.485
_cell_length_c 4.485
_cell_angle_alpha 60.00
_cell_angle_beta 60.00
_cell_angle_gamma 60.00
loop_
_space_group_symop_operation_xyz
'x,y,z'
loop_
_atom_site_label
_atom_site_fract_x
_atom_site_fract_y
_atom_site_fract_z
Ag1 0.500 0.500 0.500
Ti1 0.750 0.750 0.750
Pd1 0.000 0.000 0.000
Ti2 0.250 0.250 0.250
```

Properties
Space group: Fm-3m, No. 225
Total moment (μB per cell): 2.14
E_form (eV/atom): -0.213

=====

[5]
A plane-wave DFT calculation with SCAN was carried out for a PBEsol-optimized structure of YTi2AgPd.

Geometry as CIF:
```
data_YTi2AgPd
_space_group_name_H-M_alt 'P 1'
_space_group_IT_number 1
_cell_length_a 4.797
_cell_length_b 4.797
_cell_length_c 4.782
_cell_angle_alpha 90.00
_cell_angle_beta 90.00
_cell_angle_gamma 90.00
loop_
_space_group_symop_operation_xyz
'x,y,z'
loop_
_atom_site_label
_atom_site_fract_x
_atom_site_fract_y
_atom_site_fract_z
Ti1 0.500 0.000 0.000
Ti2 0.000 0.500 0.000
Ag1 0.500 0.500 0.500
Y1 0.000 0.000 0.000
Pd1 0.000 0.000 0.500
```

Properties
Space group: P4/mmm, No. 123
Total moment (μB per cell): 0.00
E_form (eV/atom): 1.374

=====

[6]
A plane-wave DFT calculation with SCAN was carried out for a PBEsol-optimized structure of Tl2AgPd2.

Geometry as CIF:
```
data_Tl2AgPd2
_space_group_name_H-M_alt 'P 1'
_space_group_IT_number 1
_cell_length_a 3.583
_cell_length_b 7.249
_cell_length_c 7.249
_cell_angle_alpha 90.00
_cell_angle_beta 90.00
_cell_angle_gamma 90.00
loop_
_space_group_symop_operation_xyz
'x,y,z'
loop_
_atom_site_label
_atom_site_fract_x
_atom_site_fract_y
_atom_site_fract_z
Tl1 0.500 0.664 0.836
Ag1 0.000 0.000 0.000
Pd1 0.000 0.138 0.362
Pd2 0.000 0.362 0.862
Tl2 0.500 0.164 0.664
Tl3 0.500 0.336 0.164
Pd3 0.000 0.862 0.638
Ag2 0.000 0.500 0.500
Tl4 0.500 0.836 0.336
Pd4 0.000 0.638 0.138
```

Properties
Space group: P4/mbm, No. 127
Total moment (μB per cell): 0.00
E_form (eV/atom): -0.064

=====

[7]
A plane-wave DFT calculation with SCAN was carried out for a PBEsol-optimized structure of Y2AgPd2.

Geometry as CIF:
```
data_Y2AgPd2
_space_group_name_H-M_alt 'P 1'
_space_group_IT_number 1
_cell_length_a 3.722
_cell_length_b 7.458
_cell_length_c 7.458
_cell_angle_alpha 90.00
_cell_angle_beta 90.00
_cell_angle_gamma 90.00
loop_
_space_group_symop_operation_xyz
'x,y,z'
loop_
_atom_site_label
_atom_site_fract_x
_atom_site_fract_y
_atom_site_fract_z
Y1 0.500 0.672 0.828
Ag1 0.000 0.500 0.500
Ag2 0.000 0.000 0.000
Y2 0.500 0.328 0.172
Pd1 0.000 0.630 0.130
Pd2 0.000 0.370 0.870
Pd3 0.000 0.130 0.370
Pd4 0.000 0.870 0.630
Y3 0.500 0.172 0.672
Y4 0.500 0.828 0.328
```

Properties
Space group: P4/mbm, No. 127
Total moment (μB per cell): 0.00
E_form (eV/atom): -0.819

=====

[8]
A plane-wave DFT calculation with SCAN was carried out for a PBEsol-optimized structure of Zr2AgPd2.

Geometry as CIF:
```
data_Zr2AgPd2
_space_group_name_H-M_alt 'P 1'
_space_group_IT_number 1
_cell_length_a 3.322
_cell_length_b 7.404
_cell_length_c 7.404
_cell_angle_alpha 90.00
_cell_angle_beta 90.00
_cell_angle_gamma 90.00
loop_
_space_group_symop_operation_xyz
'x,y,z'
loop_
_atom_site_label
_atom_site_fract_x
_atom_site_fract_y
_atom_site_fract_z
Zr1 0.500 0.327 0.173
Pd1 0.000 0.629 0.129
Ag1 0.000 0.500 0.500
Ag2 0.000 0.000 0.000
Zr2 0.500 0.827 0.327
Pd2 0.000 0.129 0.371
Pd3 0.000 0.371 0.871
Zr3 0.500 0.173 0.673
Zr4 0.500 0.673 0.827
Pd4 0.000 0.871 0.629
```

Properties
Space group: P4/mbm, No. 127
Total moment (μB per cell): 0.00
E_form (eV/atom): -0.596

=====

Number 1: DFT total energy -160.323 eV/cell. Number 2: DFT total energy -139.077 eV/cell. Number 3: DFT total energy -111.671 eV/cell. Number 4: DFT total energy -97.052 eV/cell. Number 5: DFT total energy -117.173 eV/cell. Number 6: DFT total energy -483.903 eV/cell. Number 7: DFT total energy -313.398 eV/cell. Number 8: DFT total energy -322.590 eV/cell.